Record 1
Entry from Alexandria: ScReAu2 at its PBEsol-relaxed geometry (SCAN).

Calculated values
The total magnetization is 0.90 Bohr magnetons per cell. The formation energy is -112 meV/atom. Its symmetry is I4/mmm. The calculation puts the excess energy over the best structure of this formula in the dataset at 0.00 eV/f.u.

Cell lengths 4.031, 4.030, 4.976 Å; angles 113.89, 113.89, 90.00 degrees
Positions (direct):
Sc 0.000 0.500 0.000
Au 0.750 0.750 0.500
Au 0.250 0.250 0.500
Re 0.500 0.000 0.000

Record 2
Entry from Alexandria: ZrSbTe2Pb at its PBEsol-relaxed geometry (SCAN).

Calculated values
The total magnetization is 0.00 Bohr magnetons per cell. Its formation energy without anion corrections is -0.047 eV/atom. Its symmetry is P4/mmm. The calculation puts the excess energy over the best structure of this formula in the dataset at 0.00 eV/f.u.

Cell lengths 5.479, 5.479, 5.589 Å; angles 90.00, 90.00, 90.00 degrees
Positions (direct):
Te 0.000 0.500 0.000
Te 0.500 0.000 0.000
Sb 0.000 0.000 0.500
Zr 0.000 0.000 0.000
Pb 0.500 0.500 0.500

Record 3
Entry from Alexandria: SrY2Pb at its PBEsol-relaxed geometry (SCAN).

Calculated values
The total magnetization is 0.70 Bohr magnetons per cell. The formation energy is -240 meV/atom. Its symmetry is P4/mmm.

Cell lengths 3.627, 3.627, 10.079 Å; angles 90.00, 90.00, 90.00 degrees
Positions (direct):
Y 0.000 0.000 0.801
Y 0.000 0.000 0.199
Pb 0.500 0.500 0.000
Sr 0.500 0.500 0.500

Record 4
Entry from Alexandria: Ba3MoN4 at its PBEsol-relaxed geometry (SCAN).

Calculated values
The total magnetization is 0.00 Bohr magnetons per cell. Its formation energy without anion corrections is -1.061 eV/atom. Its symmetry is Pbca.

Cell lengths 10.309, 10.829, 12.122 Å; angles 90.00, 90.00, 90.00 degrees
Positions (direct):
Ba 0.373 0.528 0.856
Ba 0.199 0.721 0.618
Ba 0.873 0.972 0.856
Ba 0.699 0.779 0.618
Ba 0.030 0.126 0.606
Ba 0.199 0.221 0.882
Ba 0.970 0.874 0.394
Ba 0.030 0.626 0.894
Ba 0.373 0.028 0.644
Ba 0.801 0.779 0.118
Ba 0.470 0.626 0.394
Ba 0.530 0.374 0.606
Ba 0.627 0.972 0.356
Ba 0.699 0.279 0.882
Ba 0.127 0.528 0.356
Ba 0.530 0.874 0.894
Ba 0.301 0.221 0.382
Ba 0.470 0.126 0.106
Ba 0.627 0.472 0.144
Ba 0.801 0.279 0.382
Ba 0.301 0.721 0.118
Ba 0.970 0.374 0.106
Ba 0.127 0.028 0.144
Ba 0.873 0.472 0.644
N 0.621 0.994 0.718
N 0.121 0.006 0.782
N 0.288 0.273 0.677
N 0.212 0.773 0.323
N 0.930 0.152 0.016
N 0.570 0.652 0.984
N 0.430 0.348 0.016
N 0.379 0.006 0.282
N 0.379 0.506 0.218
N 0.712 0.727 0.323
N 0.189 0.005 0.465
N 0.689 0.495 0.465
N 0.311 0.005 0.965
N 0.879 0.994 0.218
N 0.189 0.505 0.035
N 0.689 0.995 0.035
N 0.570 0.152 0.516
N 0.288 0.773 0.823
N 0.811 0.995 0.535
N 0.311 0.505 0.535
N 0.212 0.273 0.177
N 0.621 0.494 0.782
N 0.788 0.227 0.677
N 0.930 0.652 0.484
N 0.070 0.348 0.516
N 0.879 0.494 0.282
N 0.712 0.227 0.177
N 0.788 0.727 0.823
N 0.811 0.495 0.965
N 0.121 0.506 0.718
N 0.430 0.848 0.484
N 0.070 0.848 0.984
Mo 0.197 0.904 0.887
Mo 0.697 0.596 0.887
Mo 0.803 0.596 0.387
Mo 0.303 0.904 0.387
Mo 0.197 0.404 0.613
Mo 0.697 0.096 0.613
Mo 0.303 0.404 0.113
Mo 0.803 0.096 0.113

Record 5
Entry from Alexandria: SiBSe2N at its PBEsol-relaxed geometry (SCAN).

Calculated values
The total magnetization is 0.01 Bohr magnetons per cell. Its formation energy without anion corrections is 1.022 eV/atom. Its symmetry is P4/mmm.

Cell lengths 3.227, 4.984, 4.984 Å; angles 90.00, 90.00, 90.00 degrees
Positions (direct):
Si 0.000 0.000 0.000
N 0.500 0.000 0.000
B 0.500 0.500 0.500
Se 0.000 0.500 0.000
Se 0.000 0.000 0.500

Record 6
Entry from Alexandria: MgSiOs2 at its PBEsol-relaxed geometry (SCAN).

Calculated values
The total magnetization is 0.00 Bohr magnetons per cell. Its formation energy without anion corrections is -0.042 eV/atom. Its symmetry is Imm2.

Cell lengths 2.959, 4.164, 5.189 Å; angles 113.65, 106.56, 90.00 degrees
Positions (direct):
Mg 0.247 0.747 0.493
Os 0.760 0.260 0.521
Os 0.014 0.014 0.029
Si 0.479 0.479 0.957

Record 7
Entry from Alexandria: La2CeSi2S8I at its PBEsol-relaxed geometry (SCAN).

Calculated values
The total magnetization is 2.00 Bohr magnetons per cell. Its formation energy without anion corrections is -1.733 eV/atom. Its symmetry is C2/c.

Cell lengths 7.864, 8.821, 10.804 Å; angles 97.04, 90.00, 116.47 degrees
Positions (direct):
La 0.923 0.604 0.320
La 0.682 0.604 0.820
La 0.077 0.396 0.680
La 0.318 0.396 0.180
S 0.853 0.566 0.586
S 0.280 0.868 0.456
S 0.713 0.566 0.086
S 0.287 0.434 0.914
S 0.454 0.703 0.661
S 0.111 0.711 0.851
S 0.720 0.132 0.544
S 0.546 0.297 0.339
S 0.751 0.297 0.839
S 0.889 0.289 0.149
S 0.412 0.132 0.044
S 0.588 0.868 0.956
S 0.249 0.703 0.161
S 0.147 0.434 0.414
S 0.400 0.289 0.649
S 0.600 0.711 0.351
Ce 0.595 0.000 0.250
Ce 0.405 0.000 0.750
I 0.012 0.000 0.250
I 0.988 0.000 0.750
Si 0.695 0.318 0.030
Si 0.623 0.318 0.530
Si 0.305 0.682 0.970
Si 0.377 0.682 0.470

Record 8
Entry from Alexandria: CaIrO3 at its PBEsol-relaxed geometry (SCAN).

Calculated values
The total magnetization is 0.00 Bohr magnetons per cell. Its formation energy without anion corrections is -1.774 eV/atom. Its symmetry is Cmcm.

Cell lengths 5.290, 5.290, 14.014 Å; angles 90.00, 90.00, 116.37 degrees
Positions (direct):
Ir 0.000 0.000 0.000
Ir 0.343 0.657 0.851
Ir 0.343 0.657 0.649
Ir 0.657 0.343 0.351
Ir 0.000 0.000 0.500
Ir 0.657 0.343 0.149
O 0.263 0.214 0.398
O 0.786 0.737 0.398
O 0.786 0.214 0.468
O 0.737 0.786 0.898
O 0.484 0.982 0.750
O 0.786 0.737 0.102
O 0.263 0.214 0.102
O 0.495 0.505 0.750
O 0.505 0.495 0.250
O 0.214 0.263 0.602
O 0.018 0.516 0.750
O 0.786 0.214 0.032
O 0.982 0.484 0.250
O 0.214 0.786 0.532
O 0.214 0.263 0.898
O 0.214 0.786 0.968
O 0.737 0.786 0.602
O 0.516 0.018 0.250
Ca 0.321 0.679 0.380
Ca 0.321 0.679 0.120
Ca 0.679 0.321 0.880
Ca 0.981 0.019 0.250
Ca 0.019 0.981 0.750
Ca 0.679 0.321 0.620

- What is the total magnetization in the sixth record?
  0.00 Bohr magnetons per cell

- Which of these has the highest total magnetization?
  La2CeSi2S8I

- Which formula does entry 5 have?
  SiBSe2N